# 1
A plane-wave DFT calculation with PBE-GGA was carried out for a relaxed TiMoAs2Br crystal.

Total DFT energy (no corrections) (Ry/atom): -0.3908
Energy relative to the elements, uncorrected (eV per atom): 0.623
E above lowest polymorph (meV per atom): 39
Magnetic moment (μB/cell): 3.8

Cell and atoms, written as extended XYZ:
```
5
Lattice="4.938 0.000 0.000 0.000 4.938 0.000 0.000 0.000 4.945" Properties=species:S:1:pos:R:3 pbc="T T T"
Mo 2.469 2.469 2.472
As 0.000 2.469 0.000
Ti 0.000 0.000 0.000
As 2.469 0.000 0.000
Br 0.000 0.000 2.472
```



# 2
A plane-wave DFT calculation with PBE-GGA was carried out for a relaxed K2AlAsRh crystal.

Total DFT energy (no corrections) (Ry/atom): -0.2296
Magnetic moment (μB/cell): 1.8
E_form (eV per atom): 0.4641

Cell and atoms, written as extended XYZ:
```
5
Lattice="-5.308 -1.093 -2.609 2.187 -1.782 -3.703 -0.129 -5.448 2.546" Properties=species:S:1:pos:R:3 pbc="T T T"
As -1.625 -4.161 -1.883
Rh 0.000 0.000 0.000
K -0.065 -2.724 1.273
K -2.654 -0.547 -1.304
Al 1.093 -0.891 -1.851
```



# 3
A plane-wave DFT calculation with PBE-GGA was carried out for a relaxed GaPt crystal.

Total DFT energy (no corrections) (Ry/atom): -0.3723
Magnetic moment (μB/cell): 0.0
E_form (eV per atom): -0.5309

Cell and atoms, written as extended XYZ:
```
12
Lattice="4.200 0.000 0.000 0.000 8.733 0.000 0.000 0.000 5.619" Properties=species:S:1:pos:R:3 pbc="T T T"
Pt 0.000 2.348 0.194
Pt 0.000 6.715 3.004
Ga 2.100 2.813 4.148
Pt 2.100 0.000 3.313
Pt 0.000 6.384 0.194
Ga 0.000 0.000 4.850
Pt 0.000 2.018 3.004
Ga 0.000 4.366 2.040
Ga 2.100 7.180 1.339
Ga 2.100 5.919 4.148
Ga 2.100 1.553 1.339
Pt 2.100 4.366 0.504
```



Question: Which formula does entry 1 have?
Answer: TiMoAs2Br



Please write out number 3 again, unchanged.
A plane-wave DFT calculation with PBE-GGA was carried out for a relaxed GaPt crystal.

Total DFT energy (no corrections) (Ry/atom): -0.3723
Magnetic moment (μB/cell): 0.0
E_form (eV per atom): -0.5309

Cell and atoms, written as extended XYZ:
```
12
Lattice="4.200 0.000 0.000 0.000 8.733 0.000 0.000 0.000 5.619" Properties=species:S:1:pos:R:3 pbc="T T T"
Pt 0.000 2.348 0.194
Pt 0.000 6.715 3.004
Ga 2.100 2.813 4.148
Pt 2.100 0.000 3.313
Pt 0.000 6.384 0.194
Ga 0.000 0.000 4.850
Pt 0.000 2.018 3.004
Ga 0.000 4.366 2.040
Ga 2.100 7.180 1.339
Ga 2.100 5.919 4.148
Ga 2.100 1.553 1.339
Pt 2.100 4.366 0.504
```